Record 1
Below is a relaxed structure of K4MnAl, with properties calculated at the PBE-GGA level.

Computed properties:
The calculated density comes out at 1.5 g/cm³. As for the crystal system: cubic. The energy of formation from the pure elements is 839 meV/atom. The space group is F-43m.

POSCAR file:
```
K4MnAl
1.0
0.000 5.095 5.095
5.095 0.000 5.095
5.095 5.095 0.000
K Mn Al
4 1 1
Direct
0.125 0.125 0.125
0.125 0.125 0.624
0.125 0.624 0.125
0.624 0.125 0.125
0.750 0.750 0.750
0.500 0.500 0.500
```

---

Record 2
Below is a relaxed structure of K3MnAl, with properties calculated at the PBE-GGA level.

Computed properties:
The calculated density comes out at 1.3 g/cm³. As for the crystal system: cubic. The energy of formation from the pure elements is 945 meV/atom. The space group is Pm-3m. The value obtained for the energy above the most stable polymorph in this dataset is 0.0000 eV per atom.

POSCAR file:
```
K3MnAl
1.0
6.283 0.000 0.000
0.000 6.283 0.000
0.000 0.000 6.283
K Mn Al
3 1 1
Direct
0.000 0.000 0.500
0.000 0.500 0.000
0.500 0.000 0.000
0.500 0.500 0.500
0.000 0.000 0.000
```